(1)
DFT (GGA-PBE) results for an optimized crystal structure of NaMgSn2Se4.

Calculated values
As for the symmetry: No. 10. Its crystal system is monoclinic. The formation energy (no corrections) comes out at -71 kJ/mol of atoms. For the total moment, the calculation gives 0.0000 μB per atom.

```
NaMgSn2Se4
1.0
4.081 0.000 0.000
0.000 7.121 -0.151
0.000 2.479 6.826
Se Sn Na Mg
4 2 1 1
direct
0.500 0.266 0.727
0.000 0.253 0.269
0.500 0.734 0.273
0.000 0.747 0.731
0.000 0.000 0.000
0.500 0.000 0.500
0.500 0.500 0.000
0.000 0.500 0.500
```

---

(2)
DFT (GGA-PBE) results for an optimized crystal structure of NaMg2SnSe4.

Calculated values
As for the symmetry: No. 121. Its crystal system is tetragonal. The formation energy (no corrections) comes out at -85 kJ/mol of atoms. For the total moment, the calculation gives 0.0000 μB per atom.

```
NaMg2SnSe4
1.0
-7.311 -1.687 -1.352
-1.033 -7.509 0.820
3.244 5.193 4.542
Se Mg Na Sn
4 2 1 1
direct
0.381 0.892 0.000
0.892 0.381 0.000
0.108 0.108 0.488
0.619 0.619 0.512
0.250 0.750 0.500
0.750 0.250 0.500
0.500 0.500 0.000
0.000 0.000 0.000
```

---

Look up the formation energy (no corrections) of the first one.
-71 kJ/mol of atoms